Entry 1:
First-principles (PBE) data for an optimized crystal structure of AcDyIn4, as listed in Alexandria.

The space group is F-43m (No. 216) and the conventional cell measures 8.7266, 8.7266 and 8.7266 Å, with angles of 90.00, 90.00 and 90.00 degrees. The distinct sites, in fractional coordinates, are Ac at (0.0000, 0.0000, 0.0000), Dy at (0.2500, 0.2500, 0.2500) and In at (0.1248, 0.1248, 0.6248).

The calculation puts the energy at -3.62 eV per atom. Its theoretical density is 8.48 Mg/m³.

***

Entry 2:
First-principles (PBE) data for an optimized crystal structure of Ac2Dy3In4, as listed in Alexandria.

The space group is P2_1/c (No. 14) and the conventional cell measures 8.5783, 8.5531 and 8.2575 Å, with angles of 90.00, 108.18 and 90.00 degrees. The distinct sites, in fractional coordinates, are Ac at (0.1893, 0.1750, 0.0665), Dy at (0.2488, 0.6706, 0.2492), Dy at (0.5000, 0.0000, 0.5000), In at (0.0813, 0.5398, 0.8642) and In at (0.4989, 0.1239, 0.8705).

The calculation puts the energy at -4.10 eV per atom. Its theoretical density is 8.08 Mg/m³.

***

Entry 3:
First-principles (PBE) data for an optimized crystal structure of AcDyIn4, as listed in Alexandria.

The space group is Pbam (No. 55) and the conventional cell measures 8.7786, 21.1991 and 3.6992 Å, with angles of 90.00, 90.00 and 90.00 degrees. The distinct sites, in fractional coordinates, are Ac at (0.1101, 0.1826, 0.0000), Dy at (0.1113, 0.4228, 0.0000), In at (0.0562, 0.6846, 0.5000), In at (0.0719, 0.9349, 0.5000), In at (0.2109, 0.5495, 0.5000) and In at (0.2273, 0.8083, 0.5000).

The calculation puts the energy at -3.64 eV per atom. Its theoretical density is 8.19 Mg/m³.

***

Entry 4:
First-principles (PBE) data for an optimized crystal structure of Ac5DyIn6, as listed in Alexandria.

The space group is C2/m (No. 12) and the conventional cell measures 17.7442, 7.7123 and 5.8976 Å, with angles of 90.00, 100.92 and 90.00 degrees. The distinct sites, in fractional coordinates, are Ac at (0.0000, 0.0000, 0.0000), Ac at (0.1614, 0.0000, 0.6712), Ac at (0.1781, 0.5000, 0.6997), Dy at (0.0000, 0.5000, 0.0000), In at (0.0000, 0.2868, 0.5000) and In at (0.1567, 0.2723, 0.1857).

The calculation puts the energy at -3.88 eV per atom. Its theoretical density is 8.32 Mg/m³.

***

Entry 5:
First-principles (PBE) data for an optimized crystal structure of AcDy2In6, as listed in Alexandria.

The space group is P6/mmm (No. 191) and the conventional cell measures 8.8046, 8.8046 and 3.6529 Å, with angles of 90.00, 90.00 and 120.00 degrees. The distinct sites, in fractional coordinates, are Ac at (0.0000, 0.0000, 0.0000), Dy at (0.3333, 0.6667, 0.0000) and In at (0.0000, 0.3390, 0.5000).

The calculation puts the energy at -3.69 eV per atom. Its theoretical density is 8.40 Mg/m³.

***

Entry 6:
First-principles (PBE) data for an optimized crystal structure of AcDyIn6, as listed in Alexandria.

The space group is P4/mmm (No. 123) and the conventional cell measures 4.7944, 4.7944 and 9.5308 Å, with angles of 90.00, 90.00 and 90.00 degrees. The distinct sites, in fractional coordinates, are Ac at (0.0000, 0.0000, 0.0000), Dy at (0.0000, 0.0000, 0.5000), In at (0.0000, 0.5000, 0.2634), In at (0.5000, 0.5000, 0.0000) and In at (0.5000, 0.5000, 0.5000).

The calculation puts the energy at -3.54 eV per atom. Its theoretical density is 8.17 Mg/m³.

***

Entry 7:
First-principles (PBE) data for an optimized crystal structure of AcDyIn4, as listed in Alexandria.

The space group is P6/mmm (No. 191) and the conventional cell measures 5.1089, 5.1089 and 7.5151 Å, with angles of 90.00, 90.00 and 120.00 degrees. The distinct sites, in fractional coordinates, are Ac at (0.0000, 0.0000, 0.0000), Dy at (0.0000, 0.0000, 0.5000) and In at (0.3333, 0.6667, 0.2796).

The calculation puts the energy at -3.70 eV per atom. Its theoretical density is 8.30 Mg/m³.

***

Entry 8:
First-principles (PBE) data for an optimized crystal structure of AcDy3In, as listed in Alexandria.

The space group is P6_3/mmc (No. 194) and the conventional cell measures 8.0432, 8.0432 and 6.2483 Å, with angles of 90.00, 90.00 and 120.00 degrees. The distinct sites, in fractional coordinates, are Ac at (0.3333, 0.6667, 0.2500), Dy at (0.1909, 0.3818, 0.7500) and In at (0.0000, 0.0000, 0.0000).

The calculation puts the energy at -4.10 eV per atom. Its theoretical density is 7.87 Mg/m³.

***

Entry 9:
First-principles (PBE) data for an optimized crystal structure of AcDyIn, as listed in Alexandria.

The space group is P4/nmm (No. 129, origin choice 2) and the conventional cell measures 4.9664, 4.9664 and 8.4515 Å, with angles of 90.00, 90.00 and 90.00 degrees. The distinct sites, in fractional coordinates, are Ac at (0.2500, 0.2500, 0.1493), Dy at (0.2500, 0.7500, 0.5000) and In at (0.2500, 0.2500, 0.7429).

The calculation puts the energy at -4.13 eV per atom. Its theoretical density is 8.03 Mg/m³.

***

Entry 10:
First-principles (PBE) data for an optimized crystal structure of AcDy2In, as listed in Alexandria.

The space group is R-3m (No. 166, hexagonal axes) and the conventional cell measures 3.7337, 3.7337 and 32.6761 Å, with angles of 90.00, 90.00 and 120.00 degrees. The distinct sites, in fractional coordinates, are Ac at (0.0000, 0.0000, 0.0000), Dy at (0.0000, 0.0000, 0.2405) and In at (0.0000, 0.0000, 0.5000).

The calculation puts the energy at -4.13 eV per atom. Its theoretical density is 8.42 Mg/m³.

***

Entry 11:
First-principles (PBE) data for an optimized crystal structure of AcDy7In4, as listed in Alexandria.

The space group is C2/m (No. 12) and the conventional cell measures 14.2763, 5.8258 and 10.7634 Å, with angles of 90.00, 124.30 and 90.00 degrees. The distinct sites, in fractional coordinates, are Ac at (0.0000, 0.0000, 0.0000), Dy at (0.0000, 0.5000, 0.0000), Dy at (0.0611, 0.0000, 0.3907), Dy at (0.2036, 0.5000, 0.6369), Dy at (0.2139, 0.0000, 0.8765), In at (0.0626, 0.5000, 0.7652) and In at (0.1853, 0.5000, 0.3312).

The calculation puts the energy at -4.00 eV per atom. Its theoretical density is 8.19 Mg/m³.

***

Entry 12:
First-principles (PBE) data for an optimized crystal structure of Ac3Dy2In3, as listed in Alexandria.

The space group is Immm (No. 71) and the conventional cell measures 4.0145, 5.7487 and 23.5447 Å, with angles of 90.00, 90.00 and 90.00 degrees. The distinct sites, in fractional coordinates, are Ac at (0.0000, 0.0000, 0.0000), Ac at (0.0000, 0.5000, 0.1242), Dy at (0.0000, 0.0000, 0.2353), In at (0.0000, 0.0000, 0.5000) and In at (0.0000, 0.5000, 0.3713).

The calculation puts the energy at -4.02 eV per atom. Its theoretical density is 8.25 Mg/m³.

***

Entry 13:
First-principles (PBE) data for an optimized crystal structure of AcDyIn, as listed in Alexandria.

The space group is C2/m (No. 12) and the conventional cell measures 7.2926, 7.2897 and 7.9334 Å, with angles of 90.00, 101.91 and 90.00 degrees. The distinct sites, in fractional coordinates, are Ac at (0.1887, 0.0000, 0.1887), Dy at (0.1865, 0.5000, 0.2514) and In at (0.0000, 0.2424, 0.5000).

The calculation puts the energy at -3.95 eV per atom. Its theoretical density is 8.12 Mg/m³.

***

Entry 14:
First-principles (PBE) data for an optimized crystal structure of AcDy5In6, as listed in Alexandria.

The space group is Immm (No. 71) and the conventional cell measures 5.4278, 7.5588 and 16.2913 Å, with angles of 90.00, 90.00 and 90.00 degrees. The distinct sites, in fractional coordinates, are Ac at (0.0000, 0.0000, 0.0000), Dy at (0.0000, 0.0000, 0.3303), Dy at (0.0000, 0.5000, 0.0000), Dy at (0.0000, 0.5000, 0.3399), In at (0.0000, 0.2260, 0.5000) and In at (0.0000, 0.2620, 0.1729).

The calculation puts the energy at -4.07 eV per atom. Its theoretical density is 8.59 Mg/m³.

***

Entry 15:
First-principles (PBE) data for an optimized crystal structure of AcDyIn3, as listed in Alexandria.

The space group is Cmcm (No. 63) and the conventional cell measures 4.4793, 28.8334 and 4.7310 Å, with angles of 90.00, 90.00 and 90.00 degrees. The distinct sites, in fractional coordinates, are Ac at (0.0000, 0.0775, 0.2500), Dy at (0.0000, 0.2061, 0.7500), In at (0.0000, 0.3148, 0.7500), In at (0.0000, 0.3743, 0.2500) and In at (0.0000, 0.4741, 0.2500).

The calculation puts the energy at -3.80 eV per atom. Its theoretical density is 7.98 Mg/m³.

***

Entry 16:
First-principles (PBE) data for an optimized crystal structure of AcDyInIr, as listed in Alexandria.

The space group is F-43m (No. 216) and the conventional cell measures 7.5142, 7.5142 and 7.5142 Å, with angles of 90.00, 90.00 and 90.00 degrees. The distinct sites, in fractional coordinates, are Ac at (0.0000, 0.0000, 0.0000), Dy at (0.0000, 0.0000, 0.5000), In at (0.2500, 0.2500, 0.7500) and Ir at (0.2500, 0.2500, 0.2500).

The calculation puts the energy at -5.43 eV per atom. Its theoretical density is 10.90 Mg/m³.

***

Entry 17:
First-principles (PBE) data for an optimized crystal structure of LiAcDyIn, as listed in Alexandria.

The space group is F-43m (No. 216) and the conventional cell measures 7.7739, 7.7739 and 7.7739 Å, with angles of 90.00, 90.00 and 90.00 degrees. The distinct sites, in fractional coordinates, are Li at (0.0000, 0.0000, 0.0000), Ac at (0.2500, 0.2500, 0.7500), Dy at (0.0000, 0.0000, 0.5000) and In at (0.2500, 0.2500, 0.2500).

The calculation puts the energy at -3.32 eV per atom. Its theoretical density is 7.23 Mg/m³.

***

Entry 18:
First-principles (PBE) data for an optimized crystal structure of Li2AcDyIn4, as listed in Alexandria.

The space group is R-3m (No. 166, hexagonal axes) and the conventional cell measures 4.8206, 4.8206 and 31.5944 Å, with angles of 90.00, 90.00 and 120.00 degrees. The distinct sites, in fractional coordinates, are Li at (0.0000, 0.0000, 0.2360), Ac at (0.0000, 0.0000, 0.0000), Dy at (0.0000, 0.0000, 0.5000), In at (0.0000, 0.0000, 0.1167) and In at (0.0000, 0.0000, 0.3992).

The calculation puts the energy at -3.32 eV per atom. Its theoretical density is 6.76 Mg/m³.

***

Entry 19:
First-principles (PBE) data for an optimized crystal structure of AcDyLuIn, as listed in Alexandria.

The space group is F-43m (No. 216) and the conventional cell measures 7.8847, 7.8847 and 7.8847 Å, with angles of 90.00, 90.00 and 90.00 degrees. The distinct sites, in fractional coordinates, are Ac at (0.0000, 0.0000, 0.0000), Dy at (0.2500, 0.2500, 0.2500), Lu at (0.2500, 0.2500, 0.7500) and In at (0.0000, 0.0000, 0.5000).

The calculation puts the energy at -3.99 eV per atom. Its theoretical density is 9.20 Mg/m³.

***

Entry 20:
First-principles (PBE) data for an optimized crystal structure of AcDyMgIn, as listed in Alexandria.

The space group is F-43m (No. 216) and the conventional cell measures 7.8863, 7.8863 and 7.8863 Å, with angles of 90.00, 90.00 and 90.00 degrees. The distinct sites, in fractional coordinates, are Ac at (0.0000, 0.0000, 0.0000), Dy at (0.0000, 0.0000, 0.5000), Mg at (0.2500, 0.2500, 0.2500) and In at (0.2500, 0.2500, 0.7500).

The calculation puts the energy at -3.51 eV per atom. Its theoretical density is 7.16 Mg/m³.

***

Entry 21:
First-principles (PBE) data for an optimized crystal structure of NaAcDyIn, as listed in Alexandria.

The space group is F-43m (No. 216) and the conventional cell measures 7.9885, 7.9885 and 7.9885 Å, with angles of 90.00, 90.00 and 90.00 degrees. The distinct sites, in fractional coordinates, are Na at (0.0000, 0.0000, 0.0000), Ac at (0.2500, 0.2500, 0.2500), Dy at (0.2500, 0.2500, 0.7500) and In at (0.0000, 0.0000, 0.5000).

The calculation puts the energy at -3.30 eV per atom. Its theoretical density is 6.87 Mg/m³.

***

Entry 22:
First-principles (PBE) data for an optimized crystal structure of Ac2DyIn12Ni3, as listed in Alexandria.

The space group is R-3m (No. 166, hexagonal axes) and the conventional cell measures 9.3242, 9.3242 and 20.3774 Å, with angles of 90.00, 90.00 and 120.00 degrees. The distinct sites, in fractional coordinates, are Ac at (0.0000, 0.0000, 0.0848), Dy at (0.0000, 0.0000, 0.5000), In at (0.0702, 0.5351, 0.8780), In at (0.0752, 0.5376, 0.3127) and Ni at (0.0000, 0.5000, 0.0000).

The calculation puts the energy at -3.53 eV per atom. Its theoretical density is 7.05 Mg/m³.

***

Entry 23:
First-principles (PBE) data for an optimized crystal structure of Ac2DyInO6, as listed in Alexandria.

The space group is P2_1/c (No. 14) and the conventional cell measures 5.9714, 6.1398 and 10.4113 Å, with angles of 90.00, 124.64 and 90.00 degrees. The distinct sites, in fractional coordinates, are Ac at (0.2353, 0.0484, 0.2492), Dy at (0.5000, 0.0000, 0.0000), In at (0.0000, 0.0000, 0.5000), O at (0.1392, 0.2041, 0.9419), O at (0.2365, 0.7005, 0.9411) and O at (0.3563, 0.0438, 0.7472).

Its uncorrected formation energy is -2.970 eV/atom. Its theoretical density is 8.75 Mg/m³.